# 1
! HgAsAu2 GGA-PBE optimized geometry; values from VASP
&SYSTEM
  ibrav = 0, nat = 4, ntyp = 3
/
ATOMIC_SPECIES
Au 196.97 Au.upf
Hg 200.59 Hg.upf
As 74.92 As.upf
ATOMIC_POSITIONS angstrom
Au 0.000 0.000 10.377
Au 0.714 1.281 2.440
Hg 0.000 0.000 5.115
As 0.714 1.281 8.081
CELL_PARAMETERS angstrom
3.041 -0.016 0.000
-1.613 2.578 0.000
0.000 0.000 10.405
! DOS(E_F)   0.309 states/eV/atom


# 2
! HgAs2Au GGA-PBE optimized geometry; values from VASP
&SYSTEM
  ibrav = 0, nat = 4, ntyp = 3
/
ATOMIC_SPECIES
Au 196.97 Au.upf
As 74.92 As.upf
Hg 200.59 Hg.upf
ATOMIC_POSITIONS angstrom
Au 1.502 1.502 2.326
As 0.000 0.000 4.329
As 0.000 0.000 0.323
Hg 1.502 1.502 6.978
CELL_PARAMETERS angstrom
3.003 0.000 0.000
0.000 3.003 0.000
0.000 0.000 9.304
! DOS(E_F)   0.222 states/eV/atom


# 3
! HgAs2Au GGA-PBE optimized geometry; values from VASP
&SYSTEM
  ibrav = 0, nat = 4, ntyp = 3
/
ATOMIC_SPECIES
Hg 200.59 Hg.upf
As 74.92 As.upf
Au 196.97 Au.upf
ATOMIC_POSITIONS angstrom
Hg 1.462 2.178 5.721
As 0.000 0.000 0.665
As 0.000 0.000 3.149
Au 1.462 2.178 1.907
CELL_PARAMETERS angstrom
2.924 0.000 0.000
0.000 4.357 0.000
0.000 0.000 7.628
! DOS(E_F)   0.393 states/eV/atom


Number 1: E_form 0.18 eV/atom. Number 2: E_form 0.28 eV/atom. Number 3: E_form 0.24 eV/atom.